A) Here is an optimized crystal structure of NaNbWO6 from Alexandria via LeMat-Bulk. Energies are from PBE with a Hubbard U.

Summary:
Crystal system = tetragonal
Total moment = 0.000 μB per atom
Calculated density = 5.775 g cm⁻³

Lattice parameters (Å, degrees): 4.913 4.913 9.427 90.00 90.00 90.00
Space group P4_2nm (No. 102)
Unique sites:
Na 0.000 0.000 0.000 x2
Nb 0.000 0.000 0.331 x2
W 0.000 0.000 0.667 x2
O 0.175 0.175 0.505 x4
O 0.215 0.215 0.803 x4
O 0.223 0.223 0.193 x4



B) Here is an optimized crystal structure of NaNbWO6 from Alexandria via LeMat-Bulk. Energies are from PBE with a Hubbard U.

Summary:
Crystal system = orthorhombic
Total moment = 0.000 μB per atom
Calculated density = 4.529 g cm⁻³

Lattice parameters (Å, degrees): 7.425 7.441 10.503 90.00 90.00 90.00
Space group Imma (No. 74)
Unique sites:
Na 0.000 0.000 0.000 x4
Nb 0.250 0.250 0.250 x4
W 0.000 0.000 0.500 x4
O 0.000 0.250 0.179 x4
O 0.000 0.250 0.556 x4
O 0.186 0.061 0.378 x16



Verdict on stability: B) comes out on top.